Compound: HoEr4S7
Source: the Alexandria database
Functional: PBE
Structure: relaxed

abc: 3.7743 6.6460 11.5358
angles: 103.90 90.00 106.50
Last column: nearest neighbours and their distance in Å.
Sites, in units of the cell vectors:
Ho 0.8881 0.7763 0.5787  6 S 2.66-2.81
Er 0.7001 0.4003 0.8128  7 S 2.72-2.92
Er 0.3000 0.6000 0.1873  7 S 2.72-2.92
Er 0.0001 0.0003 0.0003  6 S 2.66-2.72
Er 0.1119 0.2238 0.4211  6 S 2.65-2.80
S 0.7406 0.4812 0.3521  4 Er 2.75-2.91, 1 Ho 2.81
S 0.2581 0.5163 0.6475  2 Ho 2.76, 3 Er 2.80-2.91
S 0.3412 0.6823 0.9491  5 Er 2.72-2.92
S 0.6592 0.3183 0.0511  5 Er 2.72-2.92
S 0.0418 0.0837 0.7857  3 Er 2.66-2.72, 1 Ho 2.68
S 0.9584 0.9169 0.2150  4 Er 2.66-2.72
S 0.5003 0.0007 0.4993  2 Er 2.65, 2 Ho 2.66-2.67

Results
SG   Cm, No. 8
Formation energy without anion corrections   -24.78 eV per formula unit
E_tot   -6.37 eV per atom
Total magnetization   0.000 μB/f.u.